GaSiSb2Te | the Alexandria database | PBE | relaxed; formation energy from raw total energies = 11.83 kcal/mol of atoms; density of states at the Fermi level = 0.871 states/eV per atom; energy above the lowest structure with this stoichiometry = 0.000 eV per atom; crystal system = tetragonal; volume = 29.57 Å³ per atom; space group = P4/mmm (123)
1.0
5.2584 0.0000 0.0000
0.0000 5.2584 0.0000
0.0000 0.0000 5.3478
Si Te Sb Ga
1 1 2 1
Direct
0.0000 0.0000 0.0000 Si
0.0000 0.0000 0.5000 Te
0.0000 0.5000 0.0000 Sb
0.5000 0.0000 0.0000 Sb
0.5000 0.5000 0.5000 Ga